A relaxed Nb2SiB crystal, computed with PBE.

- M_tot (μB/f.u.) = 0.002
- uncorrected energy (eV/atom) = -8.620

abc: 3.2823 3.2823 12.5279
angles: 90.00 90.00 120.00
Fractional positions:
Nb (0.3333, 0.6667, 0.1013)
Nb (0.3333, 0.6667, 0.3987)
Nb (0.6667, 0.3333, 0.6013)
Nb (0.6667, 0.3333, 0.8987)
Si (0.3333, 0.6667, 0.7500)
Si (0.6667, 0.3333, 0.2500)
B (0.0000, 0.0000, 0.0000)
B (0.0000, 0.0000, 0.5000)